(1)
5
Lattice="3.837 0.000 0.000 0.000 3.837 0.000 0.000 0.000 3.837" Properties=species:S:1:pos:R:3 comment="AlB3Cl, single point on PBEsol structure, DFT meta-GGA SCAN" final_energy_ev_per_atom=-5.30 formation_energy_uncorrected_mev_per_atom=2303 magnetic_moment_mub_per_atom=0.0003 pbc="T T T"
Al 0.000 0.000 0.000
B 0.000 1.918 1.918
B 1.918 0.000 1.918
B 1.918 1.918 0.000
Cl 1.918 1.918 1.918



(2)
5
Lattice="5.017 0.000 0.000 0.000 5.017 0.000 0.000 0.000 3.403" Properties=species:S:1:pos:R:3 comment="HfTeHW2, single point on PBEsol structure, DFT meta-GGA SCAN" final_energy_ev_per_atom=-47.10 magnetic_moment_mub_per_atom=0.0000 pbc="T T T"
Hf 0.000 0.000 0.000
Te 2.508 2.508 1.701
H 0.000 0.000 1.701
W 0.000 2.508 0.000
W 2.508 0.000 0.000



(3)
10
Lattice="9.061 0.000 0.000 0.000 9.061 0.000 0.000 0.000 3.061" Properties=species:S:1:pos:R:3 comment="Cd2Sn2Hg, single point on PBEsol structure, DFT meta-GGA SCAN" final_energy_ev_per_atom=-40.06 ef_kj_per_mol_fu=54 magnetic_moment_mub_per_atom=0.0000 pbc="T T T"
Cd 1.311 3.220 0.000
Cd 3.220 7.750 0.000
Cd 5.841 1.311 0.000
Cd 7.750 5.841 0.000
Sn 1.390 5.920 1.531
Sn 3.141 1.390 1.531
Sn 5.920 7.671 1.531
Sn 7.671 3.141 1.531
Hg 0.000 0.000 1.531
Hg 4.530 4.530 1.531



(4)
5
Lattice="5.566 0.000 0.000 0.000 5.566 0.000 0.000 0.000 5.261" Properties=species:S:1:pos:R:3 comment="SbAuCI2, single point on PBEsol structure, DFT meta-GGA SCAN" final_energy_ev_per_atom=-36.29 formation_energy_uncorrected_mev_per_atom=1709 magnetic_moment_mub_per_atom=0.3510 pbc="T T T"
Sb 0.000 0.000 0.000
Au 0.000 0.000 2.630
C 2.783 2.783 0.000
I 0.000 2.783 2.630
I 2.783 0.000 2.630



(5)
32
Lattice="7.239 0.000 0.000 0.000 5.013 0.000 -0.072 0.000 10.119" Properties=species:S:1:pos:R:3 comment="Na2BeGeO4, single point on PBEsol structure, DFT meta-GGA SCAN" final_energy_ev_per_atom=-9.32 formation_energy_uncorrected_mev_per_atom=-2224 magnetic_moment_mub_per_atom=0.0074 pbc="T T T"
Na -0.021 1.044 3.955
Na -0.057 1.463 9.014
Na 1.867 3.422 3.661
Na 1.831 4.098 8.721
Na 5.336 0.916 1.398
Na 5.300 1.591 6.458
Na 7.224 3.550 1.105
Na 7.188 3.970 6.164
Be 3.608 3.293 0.885
Be 3.572 4.227 5.944
Be 3.595 0.787 4.175
Be 3.559 1.720 9.234
Ge 2.009 0.779 1.617
Ge 1.973 1.728 6.676
Ge 5.194 3.286 3.443
Ge 5.158 4.234 8.502
O 0.361 1.189 1.234
O 0.325 1.318 6.293
O 2.211 3.452 6.340
O 2.247 4.068 1.280
O 2.248 1.096 3.344
O 2.212 1.411 8.404
O 3.248 0.853 5.811
O 3.284 1.654 0.752
O 3.883 3.359 9.367
O 3.919 4.161 4.308
O 4.955 3.602 1.715
O 4.919 3.918 6.775
O 4.920 0.946 8.839
O 4.956 1.561 3.779
O 6.843 3.695 3.826
O 6.807 3.825 8.885



(6)
4
Lattice="2.726 0.000 0.000 0.000 2.726 0.000 0.000 0.000 7.543" Properties=species:S:1:pos:R:3 comment="ReSi2Pt, single point on PBEsol structure, DFT meta-GGA SCAN" final_energy_ev_per_atom=-40.20 formation_energy_uncorrected_mev_per_atom=132 polymorph_energy_mev_per_atom=95.7 magnetic_moment_mub_per_atom=0.0000 pbc="T T T"
Re 0.000 0.000 0.000
Si 0.000 0.000 3.683
Si 1.363 1.363 1.731
Pt 1.363 1.363 5.531



(7)
5
Lattice="5.509 0.000 0.000 0.000 5.509 0.000 0.000 0.000 5.409" Properties=species:S:1:pos:R:3 comment="CaSb2TeOs, single point on PBEsol structure, DFT meta-GGA SCAN" final_energy_ev_per_atom=-36.88 formation_energy_uncorrected_mev_per_atom=1785 magnetic_moment_mub_per_atom=0.7084 pbc="T T T"
Ca 0.000 0.000 0.000
Sb 0.000 2.755 0.000
Sb 2.755 0.000 0.000
Te 0.000 0.000 2.705
Os 2.755 2.755 2.705



(8)
4
Lattice="3.856 0.000 0.000 0.000 3.856 0.000 0.000 0.000 10.808" Properties=species:S:1:pos:R:3 comment="KSr2Fe, single point on PBEsol structure, DFT meta-GGA SCAN" final_energy_ev_per_atom=-17.19 ef_kj_per_mol_fu=218 magnetic_moment_mub_per_atom=0.8440 pbc="T T T"
K 0.000 0.000 0.000
Sr 0.000 0.000 6.858
Sr 1.928 1.928 3.657
Fe 1.928 1.928 8.506



What did the eighth record say?
4
Lattice="3.856 0.000 0.000 0.000 3.856 0.000 0.000 0.000 10.808" Properties=species:S:1:pos:R:3 comment="KSr2Fe, single point on PBEsol structure, DFT meta-GGA SCAN" final_energy_ev_per_atom=-17.19 ef_kj_per_mol_fu=218 magnetic_moment_mub_per_atom=0.8440 pbc="T T T"
K 0.000 0.000 0.000
Sr 0.000 0.000 6.858
Sr 1.928 1.928 3.657
Fe 1.928 1.928 8.506